No. 1
Material: Ca2YTe
Method: DFT, PBE
State: relaxed

Cell: 4.2625 5.4728 5.3345 Å, 90.00 90.00 90.00°
Fractional positions:
Ca: 0.5000 0.5000 0.0000
Te: 0.5000 0.0000 0.5000
Ca: 0.0000 0.0000 0.0000
Y: 0.0000 0.5000 0.5000

**Formation energy from raw total energies**: -0.39 eV/atom
**Energy**: -3.791 eV/atom
**Symmetry**: Pmmm
**M_tot**: 0.000 μB/atom

=====

No. 2
Material: AcHg2SeO8
Method: DFT, PBE
State: relaxed

Cell: 5.4246 5.4246 6.6627 Å, 90.00 90.00 120.00°
Each line ends with the local moment (μB).
Fractional positions:
Hg: 0.6667 0.3333 0.1204  0.08
O: 0.6667 0.3333 0.4390  0.65
O: 0.8446 0.1554 0.8386  0.19
O: 0.6892 0.8446 0.1614  0.19
O: 0.3108 0.1554 0.8386  0.19
Se: 0.0000 0.0000 0.0000  -0.02
O: 0.1554 0.3108 0.1614  0.19
O: 0.8446 0.6892 0.8386  0.19
Ac: 0.0000 0.0000 0.5000  -0.01
Hg: 0.3333 0.6667 0.8796  0.08
O: 0.3333 0.6667 0.5610  0.65
O: 0.1554 0.8446 0.1614  0.19

**Formation energy from raw total energies**: -0.61 eV/atom
**Energy**: -4.602 eV/atom
**Symmetry**: P-3m1
**M_tot**: 0.251 μB/atom

=====

No. 3
Material: CdBi2Pb2
Method: DFT, PBE
State: relaxed

Cell: 4.8375 7.1764 9.3548 Å, 92.37 90.00 90.00°
Fractional positions:
Bi: 0.7500 0.0634 0.2476
Pb: 0.7500 0.6942 0.5597
Bi: 0.2500 0.7154 0.3157
Pb: 0.2500 0.5053 0.8539
Cd: 0.2500 0.1406 0.0524
Pb: 0.2500 0.3058 0.4403
Pb: 0.7500 0.4947 0.1461
Bi: 0.7500 0.2846 0.6843
Bi: 0.2500 0.9366 0.7524
Cd: 0.7500 0.8594 0.9476

**Energy**: -3.175 eV/atom
**E above lowest polymorph**: 0.0 kJ per mole of atoms
**Symmetry**: P2_1/m
**Calculated formation energy**: 44.0 meV per atom
**M_tot**: 0.000 μB/atom